## a
# Zr4Tc3

Zr4Tc3 after structural relaxation (PBE, Alexandria).

abc: 5.213 5.213 5.708
angles: 90.00 90.00 120.00
Atoms (fractional coordinates):
Zr1 0.000 0.000 0.247
Zr2 0.000 0.000 0.753
Zr3 0.333 0.667 0.000
Zr4 0.667 0.333 0.000
Tc1 0.000 0.500 0.500
Tc2 0.500 0.000 0.500
Tc3 0.500 0.500 0.500

Calculated values
As for the density of states at the Fermi level: 1.001 states/eV/atom.

## b
# Zr4Tc3

Zr4Tc3 after structural relaxation (PBE, Alexandria).

abc: 12.455 12.455 12.455
angles: 164.89 164.89 21.44
Atoms (fractional coordinates):
Zr1 0.066 0.066 0.000
Zr2 0.349 0.349 0.000
Zr3 0.651 0.651 0.000
Zr4 0.934 0.934 0.000
Tc1 0.221 0.221 0.000
Tc2 0.500 0.500 0.000
Tc3 0.779 0.779 0.000

Calculated values
As for the density of states at the Fermi level: 1.343 states/eV/atom.

Relative energies, unit kJ/mol of atoms: a 0.0; b 10.2